SrTiB12 | PBE | relaxed

a = 4.1406 Å, b = 4.1406 Å, c = 8.2569 Å
α = 90.00°, β = 90.00°, γ = 90.00°
With the nearest neighbours (Å) after each atom.
Positions (direct):
Ti: 0.0000 0.0000 0.0000  24 B 3.01-3.04
B: 0.5000 0.5000 0.3969  5 B 1.70-1.76
B: 0.7993 0.5000 0.2451  5 B 1.66-1.76
B: 0.5000 0.2007 0.2451  5 B 1.66-1.76
B: 0.5000 0.5000 0.6031  5 B 1.70-1.76
B: 0.5000 0.7993 0.7549  5 B 1.66-1.76
B: 0.5000 0.5000 0.0978  5 B 1.62-1.74
B: 0.2007 0.5000 0.7549  5 B 1.66-1.76
B: 0.5000 0.7993 0.2451  5 B 1.66-1.76
B: 0.7993 0.5000 0.7549  5 B 1.66-1.76
B: 0.5000 0.5000 0.9022  5 B 1.62-1.74
B: 0.5000 0.2007 0.7549  5 B 1.66-1.76
B: 0.2007 0.5000 0.2451  5 B 1.66-1.76
Sr: 0.0000 0.0000 0.5000  24 B 3.05-3.07

Output
**Formation energy from the elements**: -171.1 meV/atom
**Raw total energy**: -6.5787 eV per atom

=====

KSi2RhCl | PBE | relaxed

a = 4.8014 Å, b = 5.1962 Å, c = 4.8014 Å
α = 90.00°, β = 90.00°, γ = 90.00°
With the nearest neighbours (Å) after each atom.
Positions (direct):
K: 0.0000 0.5000 0.0000  2 Cl 2.60
Cl: 0.0000 0.0000 0.0000  4 Si 2.40, 2 K 2.60
Si: 0.0000 0.0000 0.5000  2 Cl 2.40
Si: 0.5000 0.0000 0.0000  2 Cl 2.40
Rh: 0.5000 0.5000 0.5000  4 K 3.40, 8 Si 3.54

Output
**Raw total energy**: -3.2096 eV per atom
**Uncorrected formation energy**: 1019 meV per atom